Density functional theory data (GGA-PBE) for PrZn2Ni6 after structural relaxation.

Computed properties:
- uncorrected energy (Ry/atom) = -0.31543

Cell lengths 10.591, 10.591, 10.591 Å; angles 90.00, 90.00, 90.00 degrees
Space group Fd-3m (No. 227, origin choice 2)
Symmetry-distinct sites (fractional):
Pr 0.125 0.125 0.125
Zn 0.000 0.000 0.500
Ni 0.120 0.375 0.375

---

Density functional theory data (GGA-PBE) for PrZn6Ni6 after structural relaxation.

Computed properties:
- uncorrected energy (Ry/atom) = -0.28645

Cell lengths 4.975, 8.412, 8.687 Å; angles 90.00, 90.00, 90.00 degrees
Space group Immm (No. 71)
Symmetry-distinct sites (fractional):
Pr 0.000 0.000 0.000
Zn 0.000 0.000 0.353
Zn 0.000 0.346 0.000
Zn 0.000 0.500 0.293
Ni 0.000 0.267 0.500
Ni 0.250 0.250 0.250

---

Density functional theory data (GGA-PBE) for PrZn2Ni3 after structural relaxation.

Computed properties:
- uncorrected energy (Ry/atom) = -0.32099

Cell lengths 9.404, 7.798, 5.202 Å; angles 90.00, 90.00, 90.00 degrees
Space group Cmcm (No. 63)
Symmetry-distinct sites (fractional):
Pr 0.000 0.184 0.250
Zn 0.221 0.500 0.000
Ni 0.000 0.459 0.750
Ni 0.151 0.219 0.750

---

Q: Look up the uncorrected energy of the third one.
A: -0.32099 Ry/atom